1.
First-principles (PBE) data for a relaxed structure of Ce3PmRu4, as listed in the Alexandria database.

a = 4.591 Å, b = 5.119 Å, c = 7.091 Å
α = 90.00°, β = 90.00°, γ = 90.00°
Space group Pmmm (No. 47)
Unique sites:
Ce 0.000 0.000 0.000 x1
Ce 0.000 0.000 0.500 x1
Ce 0.500 0.500 0.000 x1
Pm 0.500 0.500 0.500 x1
Ru 0.000 0.500 0.217 x2
Ru 0.500 0.000 0.260 x2

Computed properties:
Calculated volume (Å³/cell): 166.65
N(E_F) (states/eV per atom): 0.815
Energy of formation from the pure elements (meV per atom): -278

2.
First-principles (PBE) data for a relaxed structure of CePmRu4, as listed in the Alexandria database.

a = 7.614 Å, b = 7.614 Å, c = 7.614 Å
α = 90.00°, β = 90.00°, γ = 90.00°
Space group F-43m (No. 216)
Unique sites:
Ce 0.000 0.000 0.000 x4
Pm 0.250 0.250 0.250 x4
Ru 0.125 0.125 0.625 x16

Computed properties:
Calculated volume (Å³/cell): 441.38
N(E_F) (states/eV per atom): 0.762
Energy of formation from the pure elements (meV per atom): -227

3.
First-principles (PBE) data for a relaxed structure of Ce2PmRu, as listed in the Alexandria database.

a = 3.583 Å, b = 3.583 Å, c = 8.133 Å
α = 90.00°, β = 90.00°, γ = 90.00°
Space group P4/mmm (No. 123)
Unique sites:
Ce 0.000 0.000 0.189 x2
Pm 0.500 0.500 0.500 x1
Ru 0.500 0.500 0.000 x1

Computed properties:
Calculated volume (Å³/cell): 104.39
N(E_F) (states/eV per atom): 2.412
Energy relative to the lowest polymorph listed for this composition (eV per formula unit): 0.531
Energy of formation from the pure elements (meV per atom): -81

4.
First-principles (PBE) data for a relaxed structure of CePm3Ru8, as listed in the Alexandria database.

a = 5.3823 Å, b = 5.3823 Å, c = 26.5714 Å
α = 90.00°, β = 90.00°, γ = 120.00°
Space group R3m (No. 160, hexagonal axes)
Unique sites:
Ce 0.0000 0.0000 0.0000 x3
Pm 0.0000 0.0000 0.1251 x3
Pm 0.0000 0.0000 0.5004 x3
Pm 0.0000 0.0000 0.6253 x3
Ru 0.0000 0.0000 0.3127 x3
Ru 0.0000 0.0000 0.8127 x3
Ru 0.9996 0.4998 0.0623 x9
Ru 0.0004 0.5002 0.5631 x9

Computed properties:
Calculated volume (Å³/cell): 666.58
N(E_F) (states/eV per atom): 0.948
Energy of formation from the pure elements (meV per atom): -203

> calculated volume of number 4 (CePm3Ru8)?

666.58 Å³/cell

> Which of these has the lowest energy of formation from the pure elements?

Ce3PmRu4

> What is the energy of formation from the pure elements in the third record?

-81 meV per atom